# Mg2CuOs (PBE, optimized geometry)
data_Mg2CuOs
_chemical_formula_sum 'Mg2 Cu1 Os1'
_cell_length_a 4.179
_cell_length_b 4.179
_cell_length_c 3.486
_cell_angle_alpha 90.00
_cell_angle_beta 90.00
_cell_angle_gamma 90.00
_space_group_name_H-M_alt 'P 4/m m m'
_space_group_IT_number 123
_space_group_name_Hall '-P 4 2'
loop_
_atom_site_label
_atom_site_type_symbol
_atom_site_fract_x
_atom_site_fract_y
_atom_site_fract_z
Mg1 Mg 0.000 0.500 0.000
Cu1 Cu 0.000 0.000 0.500
Os1 Os 0.500 0.500 0.500
# energy relative to the lowest polymorph listed for this composition	38	meV per atom
# density	8.25	g/cm3

# MgCu2Os (PBE, optimized geometry)
data_MgCu2Os
_chemical_formula_sum 'Mg4 Cu8 Os4'
_cell_length_a 6.059
_cell_length_b 6.059
_cell_length_c 6.059
_cell_angle_alpha 90.00
_cell_angle_beta 90.00
_cell_angle_gamma 90.00
_space_group_name_H-M_alt 'F -4 3 m'
_space_group_IT_number 216
_space_group_name_Hall 'F -4 2 3'
loop_
_atom_site_label
_atom_site_type_symbol
_atom_site_fract_x
_atom_site_fract_y
_atom_site_fract_z
Mg1 Mg 0.000 0.000 0.000
Cu1 Cu 0.000 0.000 0.500
Cu2 Cu 0.250 0.250 0.250
Os1 Os 0.250 0.250 0.750
# density	10.20	g/cm3

# MgCuOs2 (PBE, optimized geometry)
data_MgCuOs2
_chemical_formula_sum 'Mg4 Cu4 Os8'
_cell_length_a 7.541
_cell_length_b 7.541
_cell_length_c 4.642
_cell_angle_alpha 90.00
_cell_angle_beta 90.00
_cell_angle_gamma 90.00
_space_group_name_H-M_alt 'I -4 2 d'
_space_group_IT_number 122
_space_group_name_Hall 'I -4 2bw'
loop_
_atom_site_label
_atom_site_type_symbol
_atom_site_fract_x
_atom_site_fract_y
_atom_site_fract_z
Mg1 Mg 0.000 0.000 0.000
Cu1 Cu 0.000 0.000 0.500
Os1 Os 0.188 0.250 0.625
# density	11.78	g/cm3

# MgCu2Os (PBE, optimized geometry)
data_MgCu2Os
_chemical_formula_sum 'Mg2 Cu4 Os2'
_cell_length_a 9.903
_cell_length_b 2.651
_cell_length_c 4.698
_cell_angle_alpha 90.00
_cell_angle_beta 116.62
_cell_angle_gamma 90.00
_space_group_name_H-M_alt 'C 1 m 1'
_space_group_IT_number 8
loop_
_space_group_symop_operation_xyz
'x,y,z'
'x,-y,z'
'x+1/2,y+1/2,z'
'x+1/2,-y+1/2,z'
loop_
_atom_site_label
_atom_site_type_symbol
_atom_site_fract_x
_atom_site_fract_y
_atom_site_fract_z
Mg1 Mg 0.000 0.000 0.000
Cu1 Cu 0.004 0.500 0.491
Cu2 Cu 0.246 0.000 0.903
Os1 Os 0.260 0.500 0.418
# density	10.29	g/cm3

Record-wise energy of formation values, in meV per atom: 157 417 822 156